A plane-wave DFT calculation with GGA-PBE was carried out for an optimized crystal structure of CaInCo2Pd.

The structure in CIF format:
```
data_CaInCo2Pd
_cell_length_a 4.792
_cell_length_b 4.792
_cell_length_c 5.024
_cell_angle_alpha 90.00
_cell_angle_beta 90.00
_cell_angle_gamma 90.00
_space_group_name_H-M_alt 'P 4/m m m'
_space_group_IT_number 123
_space_group_name_Hall '-P 4 2'
loop_
_atom_site_label
_atom_site_fract_x
_atom_site_fract_y
_atom_site_fract_z
Ca1 0.000 0.000 0.000
In1 0.500 0.500 0.500
Co1 0.000 0.500 0.500
Pd1 0.500 0.500 0.000
```

Values from the calculation:
Final energy: -4.158 eV per atom


A plane-wave DFT calculation with GGA-PBE was carried out for an optimized crystal structure of CaInCo2Ru.

The structure in CIF format:
```
data_CaInCo2Ru
_cell_length_a 4.480
_cell_length_b 4.480
_cell_length_c 4.806
_cell_angle_alpha 90.00
_cell_angle_beta 90.00
_cell_angle_gamma 90.00
_space_group_name_H-M_alt 'P 4/m m m'
_space_group_IT_number 123
_space_group_name_Hall '-P 4 2'
loop_
_atom_site_label
_atom_site_fract_x
_atom_site_fract_y
_atom_site_fract_z
Ca1 0.000 0.000 0.000
In1 0.500 0.500 0.500
Co1 0.000 0.500 0.000
Ru1 0.000 0.000 0.500
```

Values from the calculation:
Final energy: -3.959 eV per atom


A plane-wave DFT calculation with GGA-PBE was carried out for an optimized crystal structure of CaIn2CoSn.

The structure in CIF format:
```
data_CaIn2CoSn
_cell_length_a 4.975
_cell_length_b 4.975
_cell_length_c 4.939
_cell_angle_alpha 90.00
_cell_angle_beta 90.00
_cell_angle_gamma 90.00
_space_group_name_H-M_alt 'P 4/m m m'
_space_group_IT_number 123
_space_group_name_Hall '-P 4 2'
loop_
_atom_site_label
_atom_site_fract_x
_atom_site_fract_y
_atom_site_fract_z
Ca1 0.000 0.000 0.000
In1 0.000 0.500 0.500
Co1 0.500 0.500 0.500
Sn1 0.500 0.500 0.000
```

Values from the calculation:
Final energy: -3.859 eV per atom


A plane-wave DFT calculation with GGA-PBE was carried out for an optimized crystal structure of SrCaIn2Co.

The structure in CIF format:
```
data_SrCaIn2Co
_cell_length_a 5.122
_cell_length_b 5.122
_cell_length_c 5.133
_cell_angle_alpha 90.00
_cell_angle_beta 90.00
_cell_angle_gamma 90.00
_space_group_name_H-M_alt 'P 4/m m m'
_space_group_IT_number 123
_space_group_name_Hall '-P 4 2'
loop_
_atom_site_label
_atom_site_fract_x
_atom_site_fract_y
_atom_site_fract_z
Sr1 0.000 0.000 0.000
Ca1 0.500 0.500 0.000
In1 0.000 0.500 0.500
Co1 0.500 0.500 0.500
```

Values from the calculation:
Final energy: -3.415 eV per atom


A plane-wave DFT calculation with GGA-PBE was carried out for an optimized crystal structure of CaTlIn2Co.

The structure in CIF format:
```
data_CaTlIn2Co
_cell_length_a 5.005
_cell_length_b 5.005
_cell_length_c 5.233
_cell_angle_alpha 90.00
_cell_angle_beta 90.00
_cell_angle_gamma 90.00
_space_group_name_H-M_alt 'P 4/m m m'
_space_group_IT_number 123
_space_group_name_Hall '-P 4 2'
loop_
_atom_site_label
_atom_site_fract_x
_atom_site_fract_y
_atom_site_fract_z
Ca1 0.000 0.000 0.000
Tl1 0.500 0.500 0.000
In1 0.000 0.500 0.500
Co1 0.000 0.000 0.500
```

Values from the calculation:
ΔE to the lowest computed polymorph: 0.0 kJ per mole of atoms
Final energy: -3.457 eV per atom


A plane-wave DFT calculation with GGA-PBE was carried out for an optimized crystal structure of CaTlIn2Co.

The structure in CIF format:
```
data_CaTlIn2Co
_cell_length_a 4.970
_cell_length_b 4.970
_cell_length_c 5.069
_cell_angle_alpha 90.00
_cell_angle_beta 90.00
_cell_angle_gamma 90.00
_space_group_name_H-M_alt 'P 4/m m m'
_space_group_IT_number 123
_space_group_name_Hall '-P 4 2'
loop_
_atom_site_label
_atom_site_fract_x
_atom_site_fract_y
_atom_site_fract_z
Ca1 0.000 0.000 0.000
Tl1 0.500 0.500 0.000
In1 0.000 0.500 0.500
Co1 0.500 0.500 0.500
```

Values from the calculation:
ΔE to the lowest computed polymorph: 0.5 kJ per mole of atoms
Final energy: -3.452 eV per atom


A plane-wave DFT calculation with GGA-PBE was carried out for an optimized crystal structure of CaTlInCo2.

The structure in CIF format:
```
data_CaTlInCo2
_cell_length_a 4.901
_cell_length_b 4.901
_cell_length_c 5.802
_cell_angle_alpha 90.00
_cell_angle_beta 90.00
_cell_angle_gamma 90.00
_space_group_name_H-M_alt 'P 4/m m m'
_space_group_IT_number 123
_space_group_name_Hall '-P 4 2'
loop_
_atom_site_label
_atom_site_fract_x
_atom_site_fract_y
_atom_site_fract_z
Ca1 0.000 0.000 0.000
Tl1 0.500 0.500 0.500
In1 0.000 0.000 0.500
Co1 0.000 0.500 0.000
```

Values from the calculation:
Final energy: -2.899 eV per atom


A plane-wave DFT calculation with GGA-PBE was carried out for an optimized crystal structure of CaZn2InCo.

The structure in CIF format:
```
data_CaZn2InCo
_cell_length_a 4.694
_cell_length_b 4.694
_cell_length_c 4.827
_cell_angle_alpha 90.00
_cell_angle_beta 90.00
_cell_angle_gamma 90.00
_space_group_name_H-M_alt 'P 4/m m m'
_space_group_IT_number 123
_space_group_name_Hall '-P 4 2'
loop_
_atom_site_label
_atom_site_fract_x
_atom_site_fract_y
_atom_site_fract_z
Ca1 0.000 0.000 0.000
Zn1 0.000 0.500 0.500
In1 0.500 0.500 0.000
Co1 0.500 0.500 0.500
```

Values from the calculation:
Final energy: -2.970 eV per atom


A plane-wave DFT calculation with GGA-PBE was carried out for an optimized crystal structure of CaZnIn2Co.

The structure in CIF format:
```
data_CaZnIn2Co
_cell_length_a 4.910
_cell_length_b 4.910
_cell_length_c 4.753
_cell_angle_alpha 90.00
_cell_angle_beta 90.00
_cell_angle_gamma 90.00
_space_group_name_H-M_alt 'P 4/m m m'
_space_group_IT_number 123
_space_group_name_Hall '-P 4 2'
loop_
_atom_site_label
_atom_site_fract_x
_atom_site_fract_y
_atom_site_fract_z
Ca1 0.000 0.000 0.000
Zn1 0.500 0.500 0.000
In1 0.000 0.500 0.500
Co1 0.500 0.500 0.500
```

Values from the calculation:
Final energy: -3.283 eV per atom


A plane-wave DFT calculation with GGA-PBE was carried out for an optimized crystal structure of CaCoIr2.

The structure in CIF format:
```
data_CaCoIr2
_cell_length_a 2.816
_cell_length_b 4.397
_cell_length_c 5.370
_cell_angle_alpha 90.00
_cell_angle_beta 103.08
_cell_angle_gamma 90.00
_space_group_name_H-M_alt 'P 1 2/m 1'
_space_group_IT_number 10
_space_group_name_Hall '-P 2y'
loop_
_atom_site_label
_atom_site_fract_x
_atom_site_fract_y
_atom_site_fract_z
Ca1 0.000 0.000 0.000
Co1 0.500 0.000 0.500
Ir1 0.343 0.500 0.714
```

Values from the calculation:
ΔE to the lowest computed polymorph: 7.6 kJ per mole of atoms
Final energy: -6.564 eV per atom


A plane-wave DFT calculation with GGA-PBE was carried out for an optimized crystal structure of CaCoIr2.

The structure in CIF format:
```
data_CaCoIr2
_cell_length_a 6.354
_cell_length_b 6.354
_cell_length_c 6.354
_cell_angle_alpha 90.00
_cell_angle_beta 90.00
_cell_angle_gamma 90.00
_space_group_name_H-M_alt 'F m -3 m'
_space_group_IT_number 225
_space_group_name_Hall '-F 4 2 3'
loop_
_atom_site_label
_atom_site_fract_x
_atom_site_fract_y
_atom_site_fract_z
Ca1 0.000 0.000 0.000
Co1 0.000 0.000 0.500
Ir1 0.250 0.250 0.250
```

Values from the calculation:
ΔE to the lowest computed polymorph: 29.2 kJ per mole of atoms
Final energy: -6.340 eV per atom


A plane-wave DFT calculation with GGA-PBE was carried out for an optimized crystal structure of Ca2CoIr.

The structure in CIF format:
```
data_Ca2CoIr
_cell_length_a 4.0942
_cell_length_b 4.0942
_cell_length_c 22.4659
_cell_angle_alpha 90.00
_cell_angle_beta 90.00
_cell_angle_gamma 120.00
_space_group_name_H-M_alt 'R 3 m'
_space_group_IT_number 160
_space_group_name_Hall 'R 3 -2"'
loop_
_atom_site_label
_atom_site_fract_x
_atom_site_fract_y
_atom_site_fract_z
Ca1 0.0000 0.0000 0.0000
Ca2 0.0000 0.0000 0.1700
Co1 0.0000 0.0000 0.4181
Ir1 0.0000 0.0000 0.7519
```

Values from the calculation:
Final energy: -5.178 eV per atom


A plane-wave DFT calculation with GGA-PBE was carried out for an optimized crystal structure of CaCo3Ir.

The structure in CIF format:
```
data_CaCo3Ir
_cell_length_a 4.638
_cell_length_b 4.638
_cell_length_c 4.638
_cell_angle_alpha 90.00
_cell_angle_beta 90.00
_cell_angle_gamma 90.00
_space_group_name_H-M_alt 'P m -3 m'
_space_group_IT_number 221
_space_group_name_Hall '-P 4 2 3'
loop_
_atom_site_label
_atom_site_fract_x
_atom_site_fract_y
_atom_site_fract_z
Ca1 0.000 0.000 0.000
Co1 0.000 0.500 0.500
Ir1 0.500 0.500 0.500
```

Values from the calculation:
ΔE to the lowest computed polymorph: 0.0 kJ per mole of atoms
Final energy: -5.735 eV per atom


A plane-wave DFT calculation with GGA-PBE was carried out for an optimized crystal structure of CaCoIr2.

The structure in CIF format:
```
data_CaCoIr2
_cell_length_a 2.803
_cell_length_b 4.628
_cell_length_c 9.718
_cell_angle_alpha 90.00
_cell_angle_beta 90.00
_cell_angle_gamma 90.00
_space_group_name_H-M_alt 'I m m m'
_space_group_IT_number 71
_space_group_name_Hall '-I 2 2'
loop_
_atom_site_label
_atom_site_fract_x
_atom_site_fract_y
_atom_site_fract_z
Ca1 0.000 0.000 0.000
Co1 0.000 0.000 0.500
Ir1 0.000 0.500 0.219
```

Values from the calculation:
ΔE to the lowest computed polymorph: 3.5 kJ per mole of atoms
Final energy: -6.606 eV per atom